## TlInFeF6 (GGA+U)

Data for an optimized crystal structure of TlInFeF6.

* total DFT energy (no corrections): -4.8036 eV/atom
* SG: P-31c
* calculated density: 4.85 g/cm³

```
18
Lattice="5.7413 0.0000 0.0000 -2.8707 4.9721 0.0000 0.0000 0.0000 11.7241" Properties=species:S:1:pos:R:3 pbc="T T T"
Tl 0.0000 0.0000 0.0000
Tl 0.0000 0.0000 5.8621
In 0.0000 3.3148 2.9310
In 2.8707 1.6574 8.7931
Fe 0.0000 3.3148 8.7931
Fe 2.8707 1.6574 2.9310
F -1.0880 1.8897 7.6708
F -1.7781 3.0851 9.9154
F 2.1805 0.0027 1.8087
F 1.0926 1.8871 4.0534
F 1.0880 1.8897 9.9154
F -0.6901 4.9695 7.6708
F 3.5608 0.0027 4.0534
F 1.7827 3.0824 1.8087
F 1.7781 3.0851 7.6708
F 0.6901 4.9695 9.9154
F 4.6488 1.8871 1.8087
F 3.9586 3.0824 4.0534
```